VASP calculation (PBE-GGA) on crystalline CdGaTc2 at its relaxed geometry.

Symmetry   F-43m (216)
DFT total energy   -23.509 eV/f.u.
M_tot   0.0015 μB per atom

POSCAR file:
```
CdGaTc2
1.0
0.0000 3.1589 3.1589
3.1589 0.0000 3.1589
3.1589 3.1589 0.0000
Cd Ga Tc
1 1 2
Cartesian
1.5794 1.5794 1.5794
3.1589 3.1589 3.1589
0.0000 0.0000 0.0000
4.7383 4.7383 4.7383
```

VASP calculation (PBE-GGA) on crystalline Sm2NiPd at its relaxed geometry.

Symmetry   Amm2 (38)
DFT total energy   -22.578 eV/f.u.
M_tot   0.0003 μB per atom

POSCAR file:
```
Sm2NiPd
1.0
-3.6486 1.5764 2.0642
-2.0238 -5.2283 0.4156
0.0779 -4.4002 3.4980
Ni Pd Sm
1 1 2
Cartesian
-2.9539 -4.8012 3.3040
-0.8196 -4.0555 1.6484
-0.2679 -1.3257 0.5388
-3.4989 -7.4982 4.4002
```

VASP calculation (PBE-GGA) on crystalline Li2HfSb2 at its relaxed geometry.

Symmetry   I4/mmm (139)
DFT total energy   -23.666 eV/f.u.
M_tot   0.0003 μB per atom

POSCAR file:
```
Li2HfSb2
1.0
-0.3039 3.1637 -1.9008
-2.3636 1.2980 2.5383
6.9558 0.5885 3.4748
Hf Li Sb
1 2 2
Cartesian
0.0000 0.0000 0.0000
2.6590 2.9915 0.9464
1.6292 2.0586 3.1659
-0.0929 2.8531 1.1561
4.3811 2.1970 2.9562
```

VASP calculation (PBE-GGA) on crystalline HoMgU at its relaxed geometry.

Symmetry   F-43m (216)
ΔE to the lowest computed polymorph   0.0 meV/atom
DFT total energy   -14.116 eV/f.u.
M_tot   1.4415 μB per atom

POSCAR file:
```
HoMgU
1.0
-2.8468 -4.0120 -1.4149
-4.3771 0.7393 -2.5489
-0.3318 -1.2866 -4.9433
Ho Mg U
1 1 1
Cartesian
-1.8889 -1.1398 -2.2268
0.0000 0.0000 0.0000
-5.6668 -3.4195 -6.6804
```

VASP calculation (PBE-GGA) on crystalline CdCuGeOs at its relaxed geometry.

Symmetry   F-43m (216)
ΔE to the lowest computed polymorph   0.0 meV/atom
DFT total energy   -18.644 eV/f.u.
M_tot   0.0001 μB per atom

POSCAR file:
```
CdCuGeOs
1.0
-1.2882 -3.9023 -1.7034
-3.7289 -1.9402 1.4561
-3.5771 -0.2037 -2.6367
Cd Cu Ge Os
1 1 1 1
Cartesian
-4.2971 -3.0231 -1.4420
-6.4457 -4.5347 -2.1630
0.0000 0.0000 0.0000
-2.1486 -1.5116 -0.7210
```

VASP calculation (PBE-GGA) on crystalline ReC5O5 at its relaxed geometry.

Symmetry   C2/c (15)
DFT total energy   -90.754 eV/f.u.
M_tot   0.0011 μB per atom

POSCAR file:
```
ReC5O5
1.0
8.6018 -3.4127 0.0000
8.6018 3.4127 0.0000
-8.5503 0.0000 11.3167
C O Re
20 20 4
Cartesian
7.4407 -1.0315 0.7582
13.4482 0.7312 1.3521
7.7641 3.2241 1.6475
9.8704 -1.7526 2.2446
5.0401 -0.0082 2.3072
7.8882 -0.0082 3.3511
3.0580 -1.7526 3.4138
5.1643 3.2241 4.0109
-0.5199 0.7312 4.3063
5.4877 -1.0315 4.9002
3.1656 1.0315 6.4165
9.1731 -0.7312 7.0104
3.4890 -3.2241 7.3058
5.5952 1.7526 7.9029
0.7650 0.0082 7.9656
3.6131 0.0082 9.0095
-1.2171 1.7526 9.0722
0.8891 -3.2241 9.6692
-4.7950 -0.7312 9.9646
1.2125 1.0315 10.5585
10.1082 0.6184 0.2688
13.4144 0.2357 0.3054
7.6514 2.2171 1.0833
5.1217 1.0465 1.8425
11.0245 -1.7040 2.1058
1.9039 -1.7040 3.5526
7.8067 1.0465 3.8158
5.2770 2.2171 4.5750
-0.4860 0.2357 5.3529
2.8202 0.6184 5.3895
5.8331 -0.6184 5.9272
9.1393 -0.2357 5.9638
3.3763 -2.2171 6.7417
0.8465 -1.0465 7.5008
6.7494 1.7040 7.7641
-2.3713 1.7040 9.2109
3.5316 -1.0465 9.4742
1.0018 -2.2171 10.2334
-4.7612 -0.2357 11.0113
-1.4550 -0.6184 11.0479
7.9565 -1.8230 2.5137
4.9719 -1.8230 3.1447
3.6813 1.8230 8.1720
0.6968 1.8230 8.8030
```

- Which value of M_tot does entry 4 give?
  1.4415 μB per atom